A plane-wave DFT calculation with meta-GGA SCAN was carried out for a PBEsol-optimized structure of Be3Cl.

The calculation puts the magnetic moment at 0.00 Bohr magnetons per cell. For the calculated density, the calculation gives 2.1 g/cm³. As for the uncorrected formation energy: 4.68 eV per formula unit. The value obtained for the offset from the most stable computed form is 0.475 eV per atom. The calculated total energy is -4.089 eV/atom.

Lattice parameters (Å, degrees): 3.6715 3.6715 3.6715 90.00 90.00 90.00
Space group Pm-3m (No. 221)
Symmetry-distinct sites (fractional):
Be (0.0000, 0.0000, 0.5000) (multiplicity 3)
Cl (0.5000, 0.5000, 0.5000) (multiplicity 1)